[1]
This record from Alexandria describes crystalline TaReTeOs2 at its relaxed geometry. The functional is GGA-PBEsol.

Values from the calculation:
E = -41.09 eV/f.u.
Raw formation energy = 2551 meV/atom
Total magnetic moment = 0.00 Bohr magnetons per cell

a b c (Å): 4.6634 4.6634 4.7098
angles (deg): 90.00 90.00 90.00
Last column: nearest neighbours and their distance in Å.
Fractional coordinates of all 5 atoms:
Ta: 0.0000 0.0000 0.0000  4 Re 3.30, 8 Os 3.31
Re: 0.5000 0.5000 0.0000  2 Te 2.35
Te: 0.5000 0.5000 0.5000  4 Os 2.33, 2 Re 2.35
Os: 0.0000 0.5000 0.5000  2 Te 2.33
Os: 0.5000 0.0000 0.5000  2 Te 2.33

[2]
This record from Alexandria describes crystalline ReTc2Os at its relaxed geometry. The functional is GGA-PBEsol.

Values from the calculation:
E = -47.93 eV/f.u.
Formation energy from the elements = 0.04 eV/atom
Total magnetic moment = 0.00 Bohr magnetons per cell

a b c (Å): 3.8381 3.8381 3.8462
angles (deg): 90.00 90.00 90.00
Last column: nearest neighbours and their distance in Å.
Fractional coordinates of all 4 atoms:
Re: 0.0000 0.0000 0.0000  4 Os 2.71, 8 Tc 2.72
Tc: 0.0000 0.5000 0.5000  4 Tc 2.71, 4 Re 2.72, 4 Os 2.72
Tc: 0.5000 0.0000 0.5000  4 Tc 2.71, 4 Re 2.72, 4 Os 2.72
Os: 0.5000 0.5000 0.0000  4 Re 2.71, 8 Tc 2.72

[3]
This record from Alexandria describes crystalline Re2TcOs at its relaxed geometry. The functional is GGA-PBEsol.

Values from the calculation:
E = -49.93 eV/f.u.
Formation energy from the elements = 0.05 eV/atom
Total magnetic moment = 0.00 Bohr magnetons per cell

a b c (Å): 4.7224 4.7224 4.7248
angles (deg): 99.61 99.61 33.55
Last column: nearest neighbours and their distance in Å.
Fractional coordinates of all 4 atoms:
Re: 0.0000 0.0000 0.0000  3 Tc 2.67-2.78, 5 Re 2.71-2.77, 4 Os 2.72-2.74
Re: 0.7465 0.7465 0.2554  3 Os 2.69-2.74, 4 Tc 2.71-2.75, 5 Re 2.71-2.77
Tc: 0.2427 0.2427 0.7493  7 Re 2.67-2.78, 3 Os 2.67-2.78, 2 Tc 2.73
Os: 0.4996 0.4996 0.5023  3 Tc 2.67-2.78, 7 Re 2.69-2.74, 2 Os 2.73

[4]
This record from Alexandria describes crystalline ReTc2Os at its relaxed geometry. The functional is GGA-PBEsol.

Values from the calculation:
E = -47.87 eV/f.u.
Formation energy from the elements = 0.05 eV/atom
Total magnetic moment = 0.00 Bohr magnetons per cell

a b c (Å): 4.7081 4.7081 4.7094
angles (deg): 99.57 99.57 33.51
Last column: nearest neighbours and their distance in Å.
Fractional coordinates of all 4 atoms:
Re: 0.0000 0.0000 0.0000  3 Os 2.68-2.74, 7 Tc 2.69-2.77, 2 Re 2.71
Tc: 0.2552 0.2552 0.7472  5 Tc 2.64-2.78, 3 Re 2.69-2.77, 4 Os 2.71-2.73
Tc: 0.4955 0.4955 0.4970  5 Tc 2.64-2.78, 3 Os 2.66-2.78, 4 Re 2.71-2.72
Os: 0.7540 0.7540 0.2494  7 Tc 2.66-2.78, 3 Re 2.68-2.74, 2 Os 2.71